(1)
Material: Hf4S2Br
Method: DFT, GGA-PBE
State: optimized geometry

Computed properties:
Magnetization (μB/cell): 0.00
ΔE_f (raw) (eV per formula unit): 1.12
Density (kg/m3): 9175

Cell lengths 4.8876, 4.8876, 7.3622 Å; angles 70.61, 70.61, 90.00 degrees
Fractional positions:
Hf1 0.5000 0.0000 0.0000
Hf2 0.7837 0.7837 0.4327
Hf3 0.0000 0.5000 0.0000
S1 0.6028 0.6028 0.7945
Br1 0.0000 0.0000 0.0000
S2 0.3972 0.3972 0.2055
Hf4 0.2163 0.2163 0.5673

(2)
Material: Cs3Tb2DySe6
Method: DFT, GGA-PBE
State: optimized geometry

Computed properties:
Magnetization (μB/cell): 0.00
ΔE_f (raw) (eV per formula unit): -20.76
Density (kg/m3): 5638

Cell lengths 7.4105, 7.4105, 8.7353 Å; angles 98.13, 98.13, 120.00 degrees
Fractional positions:
Se1 0.3942 0.0619 0.1858
Cs1 0.1671 0.8329 0.5000
Se2 0.0619 0.3942 0.1858
Dy1 0.0000 0.0000 0.0000
Cs2 0.8329 0.1671 0.5000
Tb1 0.6666 0.3334 0.0000
Se3 0.6058 0.9381 0.8142
Cs3 0.5000 0.5000 0.5000
Tb2 0.3334 0.6666 0.0000
Se4 0.9381 0.6058 0.8142
Se5 0.2703 0.2703 0.8140
Se6 0.7297 0.7297 0.1860

(3)
Material: ZrIn
Method: DFT, GGA-PBE
State: optimized geometry

Computed properties:
Magnetization (μB/cell): 0.00
Density (kg/m3): 6733
Energy of formation (meV per atom): 101

Cell lengths 4.3459, 4.3459, 6.2133 Å; angles 90.00, 90.00, 120.00 degrees
Fractional positions:
In1 0.0000 0.0000 0.0000
Zr1 0.6667 0.3333 0.7500
In2 0.0000 0.0000 0.5000
Zr2 0.3333 0.6667 0.2500

(4)
Material: AcDy2Hg3
Method: DFT, GGA-PBE
State: optimized geometry

Computed properties:
Magnetization (μB/cell): 0.72
Density (kg/m3): 11386
Energy of formation (meV per atom): -462

Cell lengths 3.8060, 3.8060, 11.6164 Å; angles 90.00, 90.00, 90.00 degrees
Site moments in Bohr magnetons follow the coordinates.
Fractional positions:
Hg1 0.0000 0.0000 0.0000  0.01
Hg2 0.0000 0.0000 0.3048  0.01
Hg3 0.0000 0.0000 0.6952  0.01
Dy1 0.5000 0.5000 0.1571  0.10
Ac1 0.5000 0.5000 0.5000  0.15
Dy2 0.5000 0.5000 0.8429  0.10

(5)
Material: B5C3
Method: DFT, GGA-PBE
State: optimized geometry

Computed properties:
Offset from the most stable computed form (meV per atom): 158
Magnetization (μB/cell): 0.00
Density (kg/m3): 2657
Energy of formation (meV per atom): 427

Cell lengths 4.8176, 4.8177, 2.6920 Å; angles 90.00, 90.00, 115.72 degrees
Fractional positions:
B1 0.0136 0.0645 0.0000
B2 0.0211 0.4789 0.5000
B3 0.8640 0.6360 0.0000
C1 0.3839 0.6377 0.5000
C2 0.5181 0.9819 0.5000
C3 0.8623 0.1161 0.5000
B4 0.4017 0.0983 0.0000
B5 0.4355 0.4864 0.0000

(6)
Material: Nd2GeSb3Pt4
Method: DFT, GGA-PBE
State: optimized geometry

Computed properties:
Magnetization (μB/cell): 0.00
ΔE_f (raw) (eV per formula unit): -8.37
Density (kg/m3): 11319

Cell lengths 4.5609, 4.5609, 10.6259 Å; angles 90.00, 90.00, 90.00 degrees
Fractional positions:
Sb1 0.0000 0.0000 0.5000
Pt1 0.5000 0.0000 0.6217
Pt2 0.0000 0.0000 0.0000
Nd1 0.5000 0.0000 0.2449
Sb2 0.5000 0.0000 0.8661
Nd2 0.0000 0.5000 0.7551
Ge1 0.5000 0.5000 0.5000
Sb3 0.0000 0.5000 0.1339
Pt3 0.0000 0.5000 0.3783
Pt4 0.5000 0.5000 0.0000

(7)
Material: Tb6Pm4Dy19
Method: DFT, GGA-PBE
State: optimized geometry

Computed properties:
Magnetization (μB/cell): 0.00
Density (kg/m3): 7937
Energy of formation (meV per atom): 384

Cell lengths 10.7889, 10.7890, 10.7892 Å; angles 109.47, 109.47, 109.47 degrees
Fractional positions:
Dy1 0.3404 0.0162 0.7992
Dy2 0.0162 0.7992 0.3404
Dy3 0.5412 0.2008 0.2170
Dy4 0.4588 0.6758 0.6596
Dy5 0.2170 0.5412 0.2008
Dy6 0.2595 0.0000 0.2595
Tb1 0.5000 0.8748 0.3748
Tb2 0.3748 0.5000 0.8748
Dy7 0.7992 0.3404 0.0162
Dy8 0.0000 0.0000 0.0000
Pm1 0.0000 0.0000 0.6395
Dy9 0.2595 0.2595 0.0000
Dy10 0.6758 0.6596 0.4588
Tb3 0.1252 0.6252 0.5000
Tb4 0.5000 0.1252 0.6252
Dy11 0.6596 0.4588 0.6758
Dy12 0.7405 0.7405 0.0000
Pm2 0.0000 0.6395 0.0000
Tb5 0.6252 0.5000 0.1252
Pm3 0.3605 0.3605 0.3605
Pm4 0.6395 0.0000 0.0000
Dy13 0.0000 0.7405 0.7405
Dy14 0.7830 0.9838 0.3242
Dy15 0.0000 0.2595 0.2595
Dy16 0.7405 0.0000 0.7405
Tb6 0.8748 0.3748 0.5000
Dy17 0.3242 0.7830 0.9838
Dy18 0.9838 0.3242 0.7830
Dy19 0.2008 0.2170 0.5412

(8)
Material: Tb2PrZrN4
Method: DFT, GGA-PBE
State: optimized geometry

Computed properties:
Magnetization (μB/cell): 0.00
ΔE_f (raw) (eV per formula unit): -12.41
Density (kg/m3): 8451

Cell lengths 3.4707, 6.0524, 6.0030 Å; angles 109.22, 90.00, 90.00 degrees
Fractional positions:
Tb1 0.5000 0.0000 0.5000
Pr1 0.5000 0.5000 0.0000
Zr1 0.0000 0.0000 0.0000
N1 0.5000 0.2312 0.2400
N2 0.0000 0.7700 0.2484
N3 0.0000 0.2300 0.7516
Tb2 0.0000 0.5000 0.5000
N4 0.5000 0.7688 0.7600

(9)
Material: Tl6Hg3Bi2
Method: DFT, GGA-PBE
State: optimized geometry

Computed properties:
Magnetization (μB/cell): 0.00
Density (kg/m3): 10664
Energy of formation (meV per atom): -2

Cell lengths 9.3793, 9.5638, 5.5120 Å; angles 73.35, 54.26, 60.64 degrees
Fractional positions:
Tl1 0.5796 0.3091 0.2662
Bi1 0.1700 0.6600 0.5000
Tl2 0.1113 0.3091 0.7338
Bi2 0.8300 0.3400 0.5000
Tl3 0.7350 0.0000 0.7692
Hg1 0.3200 0.3600 0.0000
Tl4 0.2650 0.0000 0.2308
Tl5 0.4204 0.6909 0.7338
Tl6 0.8887 0.6909 0.2662
Hg2 0.6800 0.6400 0.0000
Hg3 0.0000 0.0000 0.0000

(10)
Material: Er2V2Ni15
Method: DFT, GGA-PBE
State: optimized geometry

Computed properties:
Magnetization (μB/cell): 1.90
Density (kg/m3): 9087
Energy of formation (meV per atom): -258

Cell lengths 6.2718, 6.2718, 6.2718 Å; angles 82.34, 82.34, 82.34 degrees
Site moments in Bohr magnetons follow the coordinates.
Fractional positions:
Ni1 0.8454 0.3431 0.3431  0.14
Ni2 0.6569 0.1546 0.6569  0.14
Ni3 0.3004 0.6996 0.0000  0.14
Ni4 0.0000 0.0000 0.5000  0.13
Ni5 0.6569 0.6569 0.1546  0.14
Ni6 0.3004 0.0000 0.6996  0.14
Ni7 0.6996 0.3004 0.0000  0.14
Ni8 0.0000 0.3004 0.6996  0.14
V1 0.0906 0.0906 0.0906  -0.01
V2 0.9094 0.9094 0.9094  -0.01
Ni9 0.5000 0.0000 0.0000  0.13
Ni10 0.3431 0.3431 0.8454  0.14
Er1 0.3434 0.3434 0.3434  -0.03
Er2 0.6566 0.6566 0.6566  -0.03
Ni11 0.6996 0.0000 0.3004  0.14
Ni12 0.1546 0.6569 0.6569  0.14
Ni13 0.0000 0.6996 0.3004  0.14
Ni14 0.3431 0.8454 0.3431  0.14
Ni15 0.0000 0.5000 0.0000  0.13

(11)
Material: Er4Tm6In
Method: DFT, GGA-PBE
State: optimized geometry

Computed properties:
Magnetization (μB/cell): 0.00
Density (kg/m3): 8730
Energy of formation (meV per atom): 197

Cell lengths 6.3994, 6.3994, 9.4961 Å; angles 109.69, 109.69, 90.00 degrees
Fractional positions:
Tm1 0.0000 0.5000 0.0000
In1 0.5000 0.5000 0.0000
Er1 0.3119 0.3119 0.2706
Er2 0.6881 0.0413 0.7294
Tm2 0.5161 0.5161 0.6652
Er3 0.9587 0.9587 0.2706
Er4 0.0413 0.6881 0.7294
Tm3 0.8508 0.4839 0.3348
Tm4 0.1492 0.1492 0.6652
Tm5 0.4839 0.8508 0.3348
Tm6 0.5000 0.0000 0.0000

(12)
Material: Pm2Ga2Os
Method: DFT, GGA-PBE
State: optimized geometry

Computed properties:
Magnetization (μB/cell): 0.00
Density (kg/m3): 9154
Energy of formation (meV per atom): -438

Cell lengths 4.4791, 5.7522, 9.7357 Å; angles 85.82, 76.70, 67.09 degrees
Fractional positions:
Pm1 0.9241 0.2690 0.8828
Ga1 0.6250 0.8693 0.8806
Pm2 0.6747 0.3226 0.3281
Pm3 0.3253 0.6774 0.6719
Ga2 0.9118 0.7378 0.4385
Ga3 0.0882 0.2622 0.5615
Os1 0.6414 0.0811 0.6360
Ga4 0.3750 0.1307 0.1194
Pm4 0.0759 0.7310 0.1172
Os2 0.3586 0.9189 0.3640

(13)
Material: Er4Tl5
Method: DFT, GGA-PBE
State: optimized geometry

Computed properties:
Offset from the most stable computed form (meV per atom): 0
Magnetization (μB/cell): 0.00
Density (kg/m3): 11488
Energy of formation (meV per atom): -266

Cell lengths 6.5533, 9.2809, 9.2809 Å; angles 120.00, 90.00, 90.00 degrees
Fractional positions:
Er1 0.2500 0.0000 0.3685
Tl1 0.2500 0.2988 0.2988
Er2 0.7500 0.3685 0.3685
Tl2 0.5000 0.3333 0.6667
Tl3 0.0000 0.3333 0.6667
Tl4 0.0000 0.6667 0.3333
Tl5 0.7500 0.2988 0.0000
Er3 0.7500 0.0000 0.6315
Tl6 0.2500 0.7012 0.0000
Tl7 0.7500 0.7012 0.7012
Tl8 0.2500 0.0000 0.7012
Er4 0.5000 0.0000 0.0000
Er5 0.0000 0.0000 0.0000
Er6 0.2500 0.3685 0.0000
Tl9 0.7500 0.0000 0.2988
Tl10 0.5000 0.6667 0.3333
Er7 0.2500 0.6315 0.6315
Er8 0.7500 0.6315 0.0000

(14)
Material: NaSr2Pt
Method: DFT, GGA-PBE
State: optimized geometry

Computed properties:
Magnetization (μB/cell): 0.00
Density (kg/m3): 3988
Energy of formation (meV per atom): -505

Cell lengths 4.3523, 4.3518, 10.2911 Å; angles 102.07, 90.03, 120.01 degrees
Fractional positions:
Pt1 0.5851 0.9246 0.5522
Sr1 0.3061 0.3663 0.7169
Na1 0.0815 0.9251 0.0523
Sr2 0.8638 0.4829 0.3876

(15)
Material: Zr8Sc3
Method: DFT, GGA-PBE
State: optimized geometry

Computed properties:
Magnetization (μB/cell): 0.00
Density (kg/m3): 5619
Energy of formation (meV per atom): 23

Cell lengths 4.5301, 5.5355, 11.5881 Å; angles 104.11, 90.00, 114.15 degrees
Fractional positions:
Zr1 0.4551 0.9103 0.1809
Sc1 0.9090 0.8180 0.3624
Zr2 0.5449 0.0897 0.8191
Zr3 0.1821 0.3642 0.2732
Zr4 0.2728 0.5456 0.9095
Zr5 0.6375 0.2749 0.4547
Zr6 0.8179 0.6358 0.7268
Sc2 0.0000 0.0000 0.0000
Zr7 0.3625 0.7251 0.5453
Sc3 0.0910 0.1820 0.6376
Zr8 0.7272 0.4544 0.0905

(16)
Material: Pa2GeC
Method: DFT, GGA-PBE
State: optimized geometry

Computed properties:
Offset from the most stable computed form (meV per atom): 257
Magnetization (μB/cell): 0.00
Density (kg/m3): 12787
Energy of formation (meV per atom): -124

Cell lengths 3.1214, 3.1214, 7.2871 Å; angles 90.00, 90.00, 90.00 degrees
Fractional positions:
Pa1 0.0000 0.0000 0.8001
Ge1 0.5000 0.5000 0.5000
C1 0.5000 0.5000 0.0000
Pa2 0.0000 0.0000 0.1999

(17)
Material: PaGaSi
Method: DFT, GGA-PBE
State: optimized geometry

Computed properties:
Offset from the most stable computed form (meV per atom): 12
Magnetization (μB/cell): 0.00
ΔE_f (raw) (eV per formula unit): -1.17
Density (kg/m3): 9251

Cell lengths 4.1442, 4.1442, 7.9370 Å; angles 90.00, 90.00, 119.99 degrees
Fractional positions:
Si1 0.3333 0.1667 0.2500
Si2 0.6667 0.8333 0.7500
Pa1 0.0000 0.5000 0.5000
Ga1 0.3334 0.1666 0.7500
Pa2 0.0000 0.5000 0.0000
Ga2 0.6666 0.8334 0.2500

(18)
Material: UCdIn
Method: DFT, GGA-PBE
State: optimized geometry

Computed properties:
Magnetization (μB/cell): 2.13
Density (kg/m3): 11257
Energy of formation (meV per atom): 170

Cell lengths 2.9696, 2.9696, 8.0608 Å; angles 100.61, 100.61, 90.00 degrees
Site moments in Bohr magnetons follow the coordinates.
Fractional positions:
U1 0.0006 0.0006 0.0012  2.02
Cd1 0.3324 0.3324 0.6648  -0.01
In1 0.6670 0.6670 0.3340  -0.03

(19)
Material: KTa4Cd
Method: DFT, GGA-PBE
State: optimized geometry

Computed properties:
Magnetization (μB/cell): 0.00
Density (kg/m3): 11012
Energy of formation (meV per atom): 964

Cell lengths 5.7151, 5.7151, 5.7151 Å; angles 60.00, 60.00, 60.00 degrees
Fractional positions:
K1 0.0000 0.0000 0.0000
Ta1 0.3730 0.8809 0.3730
Cd1 0.7500 0.7500 0.7500
Ta2 0.3730 0.3730 0.8809
Ta3 0.8809 0.3730 0.3730
Ta4 0.3730 0.3730 0.3730

(20)
Material: Na3PrNp3Te8
Method: DFT, GGA-PBE
State: optimized geometry

Computed properties:
Magnetization (μB/cell): 11.00
ΔE_f (raw) (eV per formula unit): -13.45
Density (kg/m3): 6209

Cell lengths 8.9407, 8.9412, 9.1075 Å; angles 119.42, 90.00, 120.00 degrees
Site moments in Bohr magnetons follow the coordinates.
Fractional positions:
Te1 0.7446 0.4892 0.7336  -0.09
Te2 0.2554 0.5108 0.2664  -0.09
Na1 0.0000 0.0000 0.0000  0.00
Te3 0.2658 0.0148 0.2638  -0.09
Np1 0.5000 0.0000 0.5000  3.84
Np2 0.5000 0.5000 0.5000  3.84
Te4 0.7489 0.4978 0.2638  -0.09
Np3 0.0000 0.5000 0.5000  3.84
Na2 0.5000 0.5000 0.0000  0.00
Pr1 0.0000 0.0000 0.5000  0.03
Te5 0.7342 0.9852 0.7362  -0.09
Te6 0.7489 0.0148 0.2638  -0.09
Te7 0.2511 0.9852 0.7362  -0.09
Te8 0.2511 0.5022 0.7362  -0.09
Na3 0.0000 0.5000 0.0000  0.00

Calculated volume (computed, Å³/atom): 22.18, 33.21, 25.41, 28.05, 7.04, 22.10, 33.34, 14.88, 31.79, 12.67, 31.08, 22.48, 27.16, 40.95, 23.23, 17.75, 19.68, 22.88, 22.00, 34.62